VASP calculation (PBE+U) on a relaxed LaWClO4 crystal.

The space group is Pnma (No. 62) and the conventional cell measures 19.621, 6.087 and 3.927 Å, with angles of 90.00, 90.00 and 90.00 degrees. The asymmetric unit holds La at (0.104, 0.250, 0.248), W at (0.179, 0.750, 0.720), Cl at (0.011, 0.750, 0.252), O at (0.134, 0.020, 0.749), O at (0.173, 0.750, 0.241) and O at (0.230, 0.250, 0.250).

The calculation puts the total energy at -7.332 eV per atom. The value obtained for the excess energy over the best structure of this formula in the dataset is 0 meV/atom.